No. 1
Compound: CuSi2Ni3
Source: the Alexandria database
Functional: PBE
Structure: relaxed

Cell lengths 4.9521, 4.9521, 3.6969 Å; angles 90.00, 90.00, 120.00 degrees
Atoms (fractional coordinates):
Cu1 0.0000 0.0000 0.0000
Si1 0.3333 0.6667 0.5000
Si2 0.6667 0.3333 0.5000
Ni1 0.0000 0.5000 0.0000
Ni2 0.5000 0.0000 0.0000
Ni3 0.5000 0.5000 0.0000

Its space group is P6/mmm. The total energy comes out at -33.8 eV/cell. For the formation energy without anion corrections, the calculation gives -0.2505 eV per atom. The value obtained for the total magnetization is 0.00 μB per formula unit.

No. 2
Compound: CuSiNi3
Source: the Alexandria database
Functional: PBE
Structure: relaxed

Cell lengths 4.2322, 4.2322, 4.2322 Å; angles 90.00, 90.00, 90.00 degrees
Atoms (fractional coordinates):
Cu1 0.0000 0.0000 0.0000
Si1 0.5000 0.5000 0.5000
Ni1 0.0000 0.0000 0.5000
Ni2 0.0000 0.5000 0.0000
Ni3 0.5000 0.0000 0.0000

Its space group is Pm-3m. The total energy comes out at -21.6 eV/cell. For the formation energy without anion corrections, the calculation gives 1.0539 eV per atom. The value obtained for the total magnetization is 1.09 μB per formula unit.

No. 3
Compound: Sm2CuSi3Ni12
Source: the Alexandria database
Functional: PBE
Structure: relaxed

Cell lengths 6.2808, 6.2808, 6.2808 Å; angles 84.63, 84.63, 84.63 degrees
Atoms (fractional coordinates):
Sm1 0.1534 0.1534 0.1534
Sm2 0.8466 0.8466 0.8466
Cu1 0.5000 0.5000 0.5000
Si1 0.0000 0.5000 0.5000
Si2 0.5000 0.0000 0.5000
Si3 0.5000 0.5000 0.0000
Ni1 0.1160 0.1160 0.5987
Ni2 0.1160 0.5987 0.1160
Ni3 0.2050 0.6855 0.6855
Ni4 0.3145 0.3145 0.7950
Ni5 0.3145 0.7950 0.3145
Ni6 0.4013 0.8840 0.8840
Ni7 0.5987 0.1160 0.1160
Ni8 0.6855 0.2050 0.6855
Ni9 0.6855 0.6855 0.2050
Ni10 0.7950 0.3145 0.3145
Ni11 0.8840 0.4013 0.8840
Ni12 0.8840 0.8840 0.4013

Its space group is R-3m. The total energy comes out at -100.9 eV/cell. For the formation energy without anion corrections, the calculation gives -0.0976 eV per atom. The value obtained for the total magnetization is 0.00 μB per formula unit.

No. 4
Compound: SmCuSiNi6
Source: the Alexandria database
Functional: PBE
Structure: relaxed

Cell lengths 7.1960, 7.1960, 7.1960 Å; angles 129.76, 110.89, 90.22 degrees
Atoms (fractional coordinates):
Sm1 0.4643 0.2143 0.2500
Sm2 0.5357 0.7857 0.7500
Cu1 0.0000 0.0000 0.5000
Cu2 0.0000 0.5000 0.0000
Si1 0.0000 0.0000 0.0000
Si2 0.5000 0.0000 0.5000
Ni1 0.1152 0.4263 0.2950
Ni2 0.1152 0.8202 0.6889
Ni3 0.1718 0.9218 0.2500
Ni4 0.2508 0.5008 0.7500
Ni5 0.3686 0.1798 0.7950
Ni6 0.3686 0.5737 0.1889
Ni7 0.6314 0.4263 0.8111
Ni8 0.6314 0.8202 0.2050
Ni9 0.7492 0.4992 0.2500
Ni10 0.8282 0.0782 0.7500
Ni11 0.8848 0.1798 0.3111
Ni12 0.8848 0.5737 0.7050

Its space group is Imma. The total energy comes out at -97.4 eV/cell. For the formation energy without anion corrections, the calculation gives 0.0250 eV per atom. The value obtained for the total magnetization is 0.00 μB per formula unit.

Which value of total magnetization does entry 2 give? 1.09 μB per formula unit